This record from Alexandria via LeMat-Bulk describes a geometry-optimized YHoGa2 structure. The functional is PBE. Values from VASP.

Quantum ESPRESSO input file:
```
&SYSTEM
  ibrav = 0, nat = 4, ntyp = 3
/
ATOMIC_SPECIES
Y 88.91 Y.upf
Ho 164.93 Ho.upf
Ga 69.72 Ga.upf
ATOMIC_POSITIONS angstrom
Y 0.000 0.000 0.000
Ho 0.000 0.000 3.567
Ga 1.785 1.785 1.802
Ga 1.785 1.785 5.333
CELL_PARAMETERS angstrom
3.569 0.000 0.000
0.000 3.569 0.000
0.000 0.000 7.135
```

Output
- ρ: 7.184 Mg/m³
- M_tot: 0.00 Bohr magnetons per cell
- Energy of formation from the pure elements: -2.4 eV/f.u.